Entry 1:
First-principles (PBE-GGA) data for crystalline RbLiAgBr3 at its relaxed geometry, as listed in Alexandria.

Results
- E_form (uncorrected) (eV/atom) = -1.19
- V (A^3/atom) = 31.33
- electronic total energy (eV per atom) = -2.98
- symmetry = No. 11

Unit cell a=4.2975 b=9.0330 c=10.1210 alpha=106.86 beta=90.00 gamma=90.00
Last column: nearest neighbours and their distance in Å.
Sites, in units of the cell vectors:
Rb1 0.7500 0.7876 0.7662  7 Br 3.43-3.60
Rb2 0.2500 0.2124 0.2338  7 Br 3.43-3.60
Li1 0.2500 0.1151 0.6166  4 Br 2.53-2.64
Li2 0.7500 0.8849 0.3834  4 Br 2.53-2.64
Ag1 0.2500 0.6609 0.1118  5 Br 2.84-2.92
Ag2 0.7500 0.3391 0.8882  5 Br 2.84-2.92
Br1 0.2500 0.8147 0.4894  3 Li 2.56-2.64
Br2 0.7500 0.8851 0.1338  1 Li 2.53
Br3 0.7500 0.4837 0.1779  3 Ag 2.84-2.87
Br4 0.7500 0.1853 0.5106  3 Li 2.56-2.64
Br5 0.2500 0.5163 0.8221  3 Ag 2.84-2.87
Br6 0.2500 0.1149 0.8662  1 Li 2.53

Entry 2:
First-principles (PBE-GGA) data for crystalline Rb2LiAg2Br7 at its relaxed geometry, as listed in Alexandria.

Results
- E_form (uncorrected) (eV/atom) = -0.87
- V (A^3/atom) = 33.29
- electronic total energy (eV per atom) = -2.64
- symmetry = No. 12

Unit cell a=5.4146 b=5.4146 c=14.1647 alpha=78.86 beta=78.86 gamma=90.00
Last column: nearest neighbours and their distance in Å.
Sites, in units of the cell vectors:
Rb1 0.8234 0.8234 0.3526  9 Br 3.48-3.87
Rb2 0.1766 0.1766 0.6474  9 Br 3.48-3.87
Li1 0.0000 0.0000 0.0000  12 Br 3.57-3.83
Ag1 0.5975 0.5975 0.8051  6 Br 2.66-2.73
Ag2 0.4025 0.4025 0.1949  6 Br 2.66-2.73
Br1 0.5000 0.5000 0.0000  2 Ag 2.66
Br2 0.3029 0.3029 0.3920  1 Ag 2.69
Br3 0.6971 0.6971 0.6080  1 Ag 2.69
Br4 0.9143 0.4154 0.1716  2 Ag 2.73
Br5 0.4154 0.9143 0.1716  2 Ag 2.73
Br6 0.5846 0.0857 0.8284  2 Ag 2.73
Br7 0.0857 0.5846 0.8284  2 Ag 2.73

Entry 3:
First-principles (PBE-GGA) data for crystalline LiAg2SBr at its relaxed geometry, as listed in Alexandria.

Results
- E_form (uncorrected) (eV/atom) = -0.49
- V (A^3/atom) = 22.88
- electronic total energy (eV per atom) = -3.18
- symmetry = No. 123

Unit cell a=4.8738 b=4.8738 c=4.8168 alpha=90.00 beta=90.00 gamma=90.00
Last column: nearest neighbours and their distance in Å.
Sites, in units of the cell vectors:
S1 0.0000 0.0000 0.0000  2 Li 2.41, 4 Ag 2.44
Br1 0.5000 0.5000 0.5000  8 Ag 3.43, 4 Li 3.45
Ag1 0.0000 0.5000 0.0000  2 S 2.44
Ag2 0.5000 0.0000 0.0000  2 S 2.44
Li1 0.0000 0.0000 0.5000  2 S 2.41

Entry 4:
First-principles (PBE-GGA) data for crystalline Li2AgSbBr6 at its relaxed geometry, as listed in Alexandria.

Results
- E_form (uncorrected) (eV/atom) = -0.90
- V (A^3/atom) = 27.82
- electronic total energy (eV per atom) = -2.98
- symmetry = No. 146

Unit cell a=7.0541 b=7.0543 c=7.6333 alpha=62.47 beta=62.48 gamma=59.98
Last column: nearest neighbours and their distance in Å.
Sites, in units of the cell vectors:
Li1 0.5183 0.5180 0.4456  6 Br 2.70-2.95
Li2 0.0028 0.0028 0.9919  6 Br 2.77-2.80
Ag1 0.8137 0.8139 0.5587  6 Br 2.83-2.98
Sb1 0.3260 0.3261 0.0218  6 Br 2.81-2.87
Br1 0.6072 0.2344 0.2497  2 Li 2.70-2.77, 1 Sb 2.87, 1 Ag 2.98
Br2 0.2345 0.9086 0.2496  2 Li 2.70-2.77, 1 Sb 2.87, 1 Ag 2.98
Br3 0.9087 0.6071 0.2496  2 Li 2.70-2.77, 1 Sb 2.87, 1 Ag 2.98
Br4 0.3942 0.7389 0.7494  2 Li 2.80-2.95, 1 Sb 2.81, 1 Ag 2.83
Br5 0.7389 0.1174 0.7494  2 Li 2.80-2.94, 1 Sb 2.81, 1 Ag 2.83
Br6 0.1172 0.3943 0.7494  2 Li 2.80-2.95, 1 Sb 2.81, 1 Ag 2.83

Entry 5:
First-principles (PBE-GGA) data for crystalline Li2ScAgBr6 at its relaxed geometry, as listed in Alexandria.

Results
- E_form (uncorrected) (eV/atom) = -1.34
- V (A^3/atom) = 26.12
- electronic total energy (eV per atom) = -3.64
- symmetry = No. 146

Unit cell a=6.8973 b=6.8978 c=7.4869 alpha=62.56 beta=62.57 gamma=59.98
Last column: nearest neighbours and their distance in Å.
Sites, in units of the cell vectors:
Li1 0.5149 0.5148 0.4552  6 Br 2.74-2.84
Li2 0.0045 0.0043 0.9870  6 Br 2.73-2.78
Sc1 0.3268 0.3269 0.0195  6 Br 2.66-2.69
Ag1 0.8114 0.8117 0.5655  6 Br 2.79-3.06
Br1 0.5862 0.2409 0.2411  1 Sc 2.66, 2 Li 2.74-2.78
Br2 0.2411 0.9317 0.2410  1 Sc 2.66, 2 Li 2.74-2.77
Br3 0.9318 0.5861 0.2411  1 Sc 2.66, 2 Li 2.74-2.78
Br4 0.3931 0.7306 0.7549  1 Sc 2.69, 2 Li 2.73-2.84, 1 Ag 2.79
Br5 0.7306 0.1213 0.7549  1 Sc 2.69, 2 Li 2.73-2.84, 1 Ag 2.79
Br6 0.1213 0.3933 0.7548  1 Sc 2.69, 2 Li 2.73-2.84, 1 Ag 2.79

Entry 6:
First-principles (PBE-GGA) data for crystalline LiAgSe2Br at its relaxed geometry, as listed in Alexandria.

Results
- E_form (uncorrected) (eV/atom) = 0.04
- polymorph energy (0 for the lowest one) (meV/atom) = 0
- V (A^3/atom) = 28.57
- electronic total energy (eV per atom) = -2.64
- symmetry = No. 123

Unit cell a=5.0696 b=5.0696 c=5.5577 alpha=90.00 beta=90.00 gamma=90.00
Last column: nearest neighbours and their distance in Å.
Sites, in units of the cell vectors:
Se1 0.0000 0.5000 0.0000  2 Ag 2.53
Se2 0.5000 0.0000 0.0000  2 Ag 2.53
Br1 0.0000 0.0000 0.5000  2 Ag 2.78
Ag1 0.0000 0.0000 0.0000  4 Se 2.53, 2 Br 2.78
Li1 0.5000 0.5000 0.5000  4 Br 3.58, 8 Se 3.76

Entry 7:
First-principles (PBE-GGA) data for crystalline LiAgSe2Br at its relaxed geometry, as listed in Alexandria.

Results
- E_form (uncorrected) (eV/atom) = 0.11
- polymorph energy (0 for the lowest one) (meV/atom) = 68
- V (A^3/atom) = 27.51
- electronic total energy (eV per atom) = -2.57
- symmetry = No. 123

Unit cell a=4.3584 b=4.3584 c=7.2421 alpha=90.00 beta=90.00 gamma=90.00
Last column: nearest neighbours and their distance in Å.
Sites, in units of the cell vectors:
Se1 0.0000 0.5000 0.0000  2 Li 2.18
Se2 0.5000 0.0000 0.0000  2 Li 2.18
Br1 0.0000 0.0000 0.5000  4 Ag 3.08
Ag1 0.5000 0.5000 0.5000  4 Br 3.08
Li1 0.0000 0.0000 0.0000  4 Se 2.18

Entry 8:
First-principles (PBE-GGA) data for crystalline Li2SmAgBr6 at its relaxed geometry, as listed in Alexandria.

Results
- E_form (uncorrected) (eV/atom) = -1.40
- V (A^3/atom) = 28.12
- electronic total energy (eV per atom) = -3.55
- symmetry = No. 146

Unit cell a=7.0817 b=7.0833 c=7.6586 alpha=62.43 beta=62.47 gamma=59.97
Last column: nearest neighbours and their distance in Å.
Sites, in units of the cell vectors:
Li1 0.5153 0.5151 0.4546  6 Br 2.73-2.90
Li2 0.0079 0.0077 0.9766  6 Br 2.76-2.82
Sm1 0.3217 0.3218 0.0347  6 Br 2.85-2.90
Ag1 0.8064 0.8070 0.5801  6 Br 2.79-3.10
Br1 0.6111 0.2377 0.2460  2 Li 2.73-2.82, 1 Sm 2.85
Br2 0.2381 0.9051 0.2457  2 Li 2.73-2.82, 1 Sm 2.85
Br3 0.9053 0.6110 0.2458  2 Li 2.73-2.82, 1 Sm 2.85
Br4 0.3920 0.7426 0.7440  2 Li 2.76-2.90, 1 Ag 2.79, 1 Sm 2.90
Br5 0.7425 0.1215 0.7440  2 Li 2.76-2.89, 1 Ag 2.79, 1 Sm 2.90
Br6 0.1212 0.3923 0.7439  2 Li 2.76-2.90, 1 Ag 2.79, 1 Sm 2.90

What did the second record say?
First-principles (PBE-GGA) data for crystalline Rb2LiAg2Br7 at its relaxed geometry, as listed in Alexandria.

Results
- E_form (uncorrected) (eV/atom) = -0.87
- V (A^3/atom) = 33.29
- electronic total energy (eV per atom) = -2.64
- symmetry = No. 12

Unit cell a=5.4146 b=5.4146 c=14.1647 alpha=78.86 beta=78.86 gamma=90.00
Last column: nearest neighbours and their distance in Å.
Sites, in units of the cell vectors:
Rb1 0.8234 0.8234 0.3526  9 Br 3.48-3.87
Rb2 0.1766 0.1766 0.6474  9 Br 3.48-3.87
Li1 0.0000 0.0000 0.0000  12 Br 3.57-3.83
Ag1 0.5975 0.5975 0.8051  6 Br 2.66-2.73
Ag2 0.4025 0.4025 0.1949  6 Br 2.66-2.73
Br1 0.5000 0.5000 0.0000  2 Ag 2.66
Br2 0.3029 0.3029 0.3920  1 Ag 2.69
Br3 0.6971 0.6971 0.6080  1 Ag 2.69
Br4 0.9143 0.4154 0.1716  2 Ag 2.73
Br5 0.4154 0.9143 0.1716  2 Ag 2.73
Br6 0.5846 0.0857 0.8284  2 Ag 2.73
Br7 0.0857 0.5846 0.8284  2 Ag 2.73